1.
## BaUTi2S8 (GGA-PBE)

Data for crystalline BaUTi2S8 at its relaxed geometry.

Geometry as POSCAR:
```
BaUTi2S8
1.0
6.303 0.000 0.000
1.662 6.098 0.000
2.322 1.504 8.418
Ba U Ti S
1 1 2 8
Cartesian
0.000 0.000 0.000
1.161 0.752 4.209
4.059 3.163 1.694
6.227 4.439 6.724
2.800 2.507 3.647
4.523 5.845 5.855
2.442 2.532 0.214
3.823 5.395 2.246
6.462 2.207 6.172
7.844 5.070 8.204
5.763 1.757 2.563
7.486 5.095 4.771
```

Summary:
The crystal system is triclinic. The formation energy without anion corrections comes out at -1420.2 kJ/mol of formula units.



2.
## Al2FeTe (GGA-PBE)

Data for crystalline Al2FeTe at its relaxed geometry.

Geometry as POSCAR:
```
Al2FeTe
1.0
3.627 0.000 0.000
0.000 4.314 0.000
0.000 0.000 4.531
Al Fe Te
2 1 1
Cartesian
0.000 0.000 0.000
1.814 2.157 0.000
0.000 2.157 2.265
1.814 0.000 2.265
```

Summary:
The crystal system is orthorhombic. The formation energy without anion corrections comes out at 145.6 kJ/mol of formula units.



3.
## KCoBiCl2 (GGA-PBE)

Data for crystalline KCoBiCl2 at its relaxed geometry.

Geometry as POSCAR:
```
KCoBiCl2
1.0
5.822 0.000 0.000
0.000 5.822 0.000
0.000 0.000 4.919
K Co Bi Cl
1 1 1 2
Cartesian
0.000 0.000 0.000
2.911 2.911 0.000
2.911 2.911 2.459
0.000 2.911 2.459
2.911 0.000 2.459
```

Summary:
The crystal system is tetragonal. The formation energy without anion corrections comes out at -157.5 kJ/mol of formula units.



4.
## TlAgSn2 (GGA-PBE)

Data for crystalline TlAgSn2 at its relaxed geometry.

Geometry as POSCAR:
```
TlAgSn2
1.0
2.348 1.356 6.009
-2.348 1.356 6.009
0.000 -2.712 6.009
Tl Ag Sn
1 1 2
Cartesian
0.000 0.000 0.000
0.000 0.000 3.230
0.000 0.000 10.144
0.000 0.000 14.120
```

Summary:
The crystal system is trigonal. Its formation energy is 78 meV per atom.



5.
## MnCoN2 (GGA-PBE)

Data for crystalline MnCoN2 at its relaxed geometry.

Geometry as POSCAR:
```
MnCoN2
1.0
0.000 2.491 2.491
2.491 0.000 2.491
2.491 2.491 0.000
Mn Co N
1 1 2
Cartesian
0.000 0.000 0.000
2.491 2.491 2.491
1.246 1.246 1.246
3.737 3.737 3.737
```

Summary:
The crystal system is cubic. The formation energy without anion corrections comes out at 285.7 kJ/mol of formula units.



6.
## SmCd2In (GGA-PBE)

Data for crystalline SmCd2In at its relaxed geometry.

Geometry as POSCAR:
```
SmCd2In
1.0
0.000 3.676 3.676
3.676 0.000 3.676
3.676 3.676 0.000
Sm Cd In
1 2 1
Cartesian
0.000 0.000 0.000
1.838 1.838 1.838
5.513 5.513 5.513
3.676 3.676 3.676
```

Summary:
The crystal system is cubic. Its formation energy is -260 meV per atom.



7.
## LaMnGe3 (GGA-PBE)

Data for crystalline LaMnGe3 at its relaxed geometry.

Geometry as POSCAR:
```
LaMnGe3
1.0
5.513 0.000 0.000
0.000 5.513 0.000
0.000 0.000 5.513
La Mn Ge
1 1 3
Cartesian
0.000 0.000 0.000
2.757 2.757 2.757
0.000 0.000 2.757
0.000 2.757 0.000
2.757 0.000 0.000
```

Summary:
The crystal system is cubic. Its formation energy is 1754 meV per atom.



Number 1: volume 323.5 Å³/cell, E -76.74 eV per formula unit. Number 2: volume 70.9 Å³/cell, E -17.58 eV per formula unit. Number 3: volume 166.7 Å³/cell, E -17.41 eV per formula unit. Number 4: volume 114.8 Å³/cell, E -12.91 eV per formula unit. Number 5: volume 30.9 Å³/cell, E -29.97 eV per formula unit. Number 6: volume 99.3 Å³/cell, E -10.33 eV per formula unit. Number 7: volume 167.6 Å³/cell, E -19.18 eV per formula unit.